# MnCuGeO4, optimized geometry, DFT GGA+U
data_MnCuGeO4
_cell_length_a 5.807
_cell_length_b 8.666
_cell_length_c 6.474
_cell_angle_alpha 90.00
_cell_angle_beta 90.00
_cell_angle_gamma 90.00
_symmetry_space_group_name_H-M 'C m c m'
_symmetry_Int_Tables_number 63
_symmetry_space_group_name_Hall '-C 2c 2'
loop_
_atom_site_label
_atom_site_fract_x
_atom_site_fract_y
_atom_site_fract_z
Mn1 0.000 0.000 0.000
Cu1 0.000 0.314 0.250
Ge1 0.000 0.355 0.750
O1 0.000 0.238 0.526
O2 0.241 0.487 0.750
# - E_tot: -6.451 eV/atom
# - N(E_F): 3.05 states/eV/f.u.